Record 1
HPdPt2 (PBE, relaxed); volume = 12.53 Å³/atom; offset from the most stable computed form = 31.1 kJ/mol of formula units; calculated total energy = -5.071 eV per atom
1.0
2.828 0.000 0.000
-1.414 2.449 0.000
0.000 0.000 21.722
H Pd Pt
3 3 6
Direct
0.000 0.000 0.000
0.333 0.667 0.667
0.667 0.333 0.333
0.000 0.000 0.816
0.333 0.667 0.483
0.667 0.333 0.149
0.000 0.000 0.375
0.000 0.000 0.588
0.333 0.667 0.042
0.333 0.667 0.255
0.667 0.333 0.708
0.667 0.333 0.922

***

Record 2
Ho2Ga3NiPt4 (PBE, relaxed); calculated formation energy = -876 meV per atom; volume = 18.16 Å³/atom; calculated total energy = -5.694 eV per atom
1.0
4.039 0.000 0.000
0.000 4.039 0.000
0.000 0.000 11.132
Ho Ga Ni Pt
2 3 1 4
Direct
0.000 0.500 0.236
0.500 0.000 0.764
0.000 0.000 0.000
0.000 0.500 0.636
0.500 0.000 0.364
0.500 0.500 0.000
0.000 0.000 0.500
0.000 0.500 0.857
0.500 0.000 0.143
0.500 0.500 0.500

***

Record 3
Rb3Tb2NdS6 (PBE, relaxed); volume = 28.61 Å³/atom; calculated total energy = -5.318 eV per atom; formation energy (no corrections) = -1.843 eV per atom
1.0
3.586 -6.212 0.000
3.586 6.212 0.000
-2.391 0.000 7.705
Rb Tb Nd S
3 2 1 6
Direct
0.000 0.000 0.000
0.334 0.666 0.000
0.666 0.334 0.000
0.167 0.833 0.500
0.833 0.167 0.500
0.500 0.500 0.500
0.095 0.435 0.306
0.224 0.224 0.694
0.435 0.095 0.306
0.565 0.905 0.694
0.776 0.776 0.306
0.905 0.565 0.694